Below is RePH2 after structural relaxation, with properties calculated at the GGA-PBE level.

abc: 5.1547 5.1547 5.1547
angles: 90.00 90.00 90.00
Closest atoms and distances in Å follow each position.
Space group Fm-3m (No. 225)
Asymmetric unit:
Re1 0.0000 0.0000 0.0000 [4 per cell]  8 H 2.23
P1 0.0000 0.0000 0.5000 [4 per cell]  8 H 2.23
H1 0.2500 0.2500 0.2500 [8 per cell]  4 Re 2.23, 4 P 2.23

Total magnetic moment: 0.000 μB per formula unit
N(E_F): 6.609 states/eV per cell
Density: 10.63 g cm⁻³
DFT total energy: -5.062 eV per atom

=====

Below is RePHS2 after structural relaxation, with properties calculated at the GGA-PBE level.

abc: 4.4201 4.4201 3.2797
angles: 90.00 90.00 90.00
Closest atoms and distances in Å follow each position.
Space group P4/mmm (No. 123)
Asymmetric unit:
Re1 0.0000 0.0000 0.0000 [1 per cell]  2 H 1.64
P1 0.5000 0.5000 0.0000 [1 per cell]  8 S 2.75
H1 0.0000 0.0000 0.5000 [1 per cell]  2 Re 1.64
S1 0.0000 0.5000 0.5000 [2 per cell]  2 H 2.21

Total magnetic moment: 0.000 μB per formula unit
N(E_F): 3.130 states/eV per cell
Density: 7.32 g cm⁻³
DFT total energy: -4.928 eV per atom

=====

Below is RePHS2 after structural relaxation, with properties calculated at the GGA-PBE level.

abc: 4.3515 4.3515 3.1487
angles: 90.00 90.00 90.00
Closest atoms and distances in Å follow each position.
Space group P4/mmm (No. 123)
Asymmetric unit:
Re1 0.0000 0.0000 0.0000 [1 per cell]  8 S 2.69
P1 0.5000 0.5000 0.0000 [1 per cell]  2 H 1.57
H1 0.5000 0.5000 0.5000 [1 per cell]  2 P 1.57
S1 0.0000 0.5000 0.5000 [2 per cell]  2 H 2.18

Total magnetic moment: 0.000 μB per formula unit
N(E_F): 2.430 states/eV per cell
Density: 7.86 g cm⁻³
DFT total energy: -4.986 eV per atom

=====

Below is RePHS2 after structural relaxation, with properties calculated at the GGA-PBE level.

abc: 4.6404 4.6404 4.6658
angles: 90.00 90.00 90.00
Closest atoms and distances in Å follow each position.
Space group P4/mmm (No. 123)
Asymmetric unit:
Re1 0.0000 0.0000 0.0000 [1 per cell]  4 S 2.32, 2 P 2.33
P1 0.0000 0.0000 0.5000 [1 per cell]  2 Re 2.33
H1 0.5000 0.5000 0.5000 [1 per cell]  4 P 3.28, 8 S 3.29
S1 0.0000 0.5000 0.0000 [2 per cell]  2 Re 2.32

Total magnetic moment: 1.029 μB per formula unit
N(E_F): 3.867 states/eV per cell
Density: 4.67 g cm⁻³
DFT total energy: -5.044 eV per atom

=====

Below is ReSi2PH after structural relaxation, with properties calculated at the GGA-PBE level.

abc: 4.7061 4.7061 3.4704
angles: 90.00 90.00 90.00
Closest atoms and distances in Å follow each position.
Space group P4/mmm (No. 123)
Asymmetric unit:
Re1 0.0000 0.0000 0.0000 [1 per cell]  2 H 1.74
Si1 0.0000 0.5000 0.0000 [2 per cell]  2 Re 2.35
P1 0.5000 0.5000 0.5000 [1 per cell]  8 Si 2.92
H1 0.0000 0.0000 0.5000 [1 per cell]  2 Re 1.74

Total magnetic moment: 0.000 μB per formula unit
N(E_F): 4.235 states/eV per cell
Density: 5.93 g cm⁻³
DFT total energy: -5.652 eV per atom

=====

Below is P2HRh after structural relaxation, with properties calculated at the GGA-PBE level.

abc: 4.6269 4.6269 10.3114
angles: 90.00 90.00 90.00
Closest atoms and distances in Å follow each position.
Space group I-42d (No. 122)
Asymmetric unit:
P1 0.1851 0.2500 0.1250 [8 per cell]  2 H 1.93
H1 0.0000 0.0000 0.0000 [4 per cell]  4 P 1.93
Rh1 0.0000 0.0000 0.5000 [4 per cell]  4 P 2.26

Total magnetic moment: 0.000 μB per formula unit
N(E_F): 6.326 states/eV per cell
Density: 4.99 g cm⁻³
DFT total energy: -5.125 eV per atom

=====

What did the second record say?
Below is RePHS2 after structural relaxation, with properties calculated at the GGA-PBE level.

abc: 4.4201 4.4201 3.2797
angles: 90.00 90.00 90.00
Closest atoms and distances in Å follow each position.
Space group P4/mmm (No. 123)
Asymmetric unit:
Re1 0.0000 0.0000 0.0000 [1 per cell]  2 H 1.64
P1 0.5000 0.5000 0.0000 [1 per cell]  8 S 2.75
H1 0.0000 0.0000 0.5000 [1 per cell]  2 Re 1.64
S1 0.0000 0.5000 0.5000 [2 per cell]  2 H 2.21

Total magnetic moment: 0.000 μB per formula unit
N(E_F): 3.130 states/eV per cell
Density: 7.32 g cm⁻³
DFT total energy: -4.928 eV per atom

=====

Question: What is the formula in the sixth record?
Answer: P2HRh

=====

Question: Among the records above, which one has the highest N(E_F)?
Answer: RePH2